1.
This record from Alexandria describes an optimized crystal structure of TaCu2AgSe4. The functional is PBE-GGA.

a b c (Å): 6.961 6.959 5.851
angles (deg): 65.16 65.13 49.71
Atoms (fractional coordinates):
Ta  0.000  0.000  0.000
Cu  0.250  0.250  0.250
Cu  0.750  0.750  0.750
Ag  0.501  0.501  0.499
Se  0.101  0.633  0.899
Se  0.367  0.900  0.100
Se  0.633  0.101  0.367
Se  0.900  0.367  0.633

Output
As for the total energy: -4.939 eV/atom.

---

2.
This record from Alexandria describes an optimized crystal structure of TaCu2Ag3Se6. The functional is PBE-GGA.

a b c (Å): 6.455 6.455 6.963
angles (deg): 99.98 99.98 114.62
Atoms (fractional coordinates):
Ta  0.000  0.000  0.000
Cu  0.321  0.679  0.000
Cu  0.679  0.321  0.000
Ag  0.139  0.861  0.500
Ag  0.500  0.500  0.500
Ag  0.861  0.139  0.500
Se  0.042  0.375  0.243
Se  0.291  0.291  0.821
Se  0.375  0.042  0.243
Se  0.625  0.958  0.757
Se  0.709  0.709  0.179
Se  0.958  0.625  0.757

Output
The density of states at the Fermi level is 0.458 states/eV per atom. As for the total energy: -4.283 eV/atom.

---

3.
This record from Alexandria describes an optimized crystal structure of Tb2CuAgSe4. The functional is PBE-GGA.

a b c (Å): 6.730 4.142 7.205
angles (deg): 90.00 111.51 90.00
Atoms (fractional coordinates):
Tb  0.000  0.000  0.000
Tb  0.000  0.500  0.500
Cu  0.500  0.000  0.500
Ag  0.500  0.500  0.000
Se  0.256  0.000  0.748
Se  0.262  0.500  0.263
Se  0.738  0.500  0.737
Se  0.744  0.000  0.252

Output
As for the total energy: -4.873 eV/atom.

---

4.
This record from Alexandria describes an optimized crystal structure of CuAg2TeSe4. The functional is PBE-GGA.

a b c (Å): 6.092 6.093 7.270
angles (deg): 65.23 65.24 90.00
Atoms (fractional coordinates):
Cu  0.000  0.000  0.000
Ag  0.250  0.749  0.500
Ag  0.500  0.500  0.999
Te  0.750  0.250  0.500
Se  0.124  0.118  0.226
Se  0.343  0.876  0.774
Se  0.651  0.656  0.225
Se  0.882  0.349  0.774

Output
The density of states at the Fermi level is 0.629 states/eV per atom. As for the total energy: -3.377 eV/atom.